1.
Ca2AcIn6 | PBE | relaxed

abc: 8.8615 8.8615 3.8045
angles: 90.00 90.00 120.00
Space group P6/mmm (No. 191)
Unique sites:
1 Ca 0.3333 0.6667 0.0000 [2 per cell]
2 Ac 0.0000 0.0000 0.0000 [1 per cell]
3 In 0.0000 0.3370 0.5000 [6 per cell]

## Properties
Formation energy from the elements ... -0.3871 eV per atom

2.
TaIn2Sb | PBE | relaxed

abc: 3.1953 3.1953 33.5708
angles: 90.00 90.00 120.00
Space group R3m (No. 160, hexagonal axes)
Unique sites:
1 Ta 0.0000 0.0000 0.0000 [3 per cell]
2 In 0.0000 0.0000 0.4882 [3 per cell]
3 In 0.0000 0.0000 0.7390 [3 per cell]
4 Sb 0.0000 0.0000 0.2651 [3 per cell]

## Properties
Formation energy without anion corrections ... 0.16 eV per atom

3.
CePm5Tm4 | PBE | relaxed

abc: 17.806 3.489 10.931
angles: 90.00 106.62 90.00
Space group C2/m (No. 12)
Unique sites:
1 Ce 0.000 0.000 0.000 [2 per cell]
2 Pm 0.000 0.000 0.500 [2 per cell]
3 Pm 0.104 0.500 0.282 [4 per cell]
4 Pm 0.205 0.500 0.602 [4 per cell]
5 Tm 0.094 0.500 0.814 [4 per cell]
6 Tm 0.196 0.000 0.080 [4 per cell]

## Properties
Formation energy from the elements ... 0.1070 eV per atom

4.
AcPmNd2 | PBE | relaxed

abc: 4.362 4.362 7.812
angles: 90.00 90.00 90.00
Space group P4/mmm (No. 123)
Unique sites:
1 Ac 0.000 0.000 0.000 [1 per cell]
2 Pm 0.000 0.000 0.500 [1 per cell]
3 Nd 0.500 0.500 0.273 [2 per cell]

## Properties
Formation energy from the elements ... 0.1089 eV per atom

5.
Li4ZrMn | PBE | relaxed

abc: 7.349 7.349 7.349
angles: 90.00 90.00 90.00
Space group F-43m (No. 216)
Unique sites:
1 Li 0.124 0.124 0.124 [16 per cell]
2 Zr 0.000 0.000 0.500 [4 per cell]
3 Mn 0.250 0.250 0.750 [4 per cell]

## Properties
Formation energy from the elements ... 0.3376 eV per atom

6.
KLa4Tc | PBE | relaxed

abc: 9.392 9.392 9.392
angles: 90.00 90.00 90.00
Space group F-43m (No. 216)
Unique sites:
1 K 0.000 0.000 0.000 [4 per cell]
2 La 0.119 0.119 0.619 [16 per cell]
3 Tc 0.250 0.250 0.250 [4 per cell]

## Properties
Formation energy from the elements ... 0.9363 eV per atom

7.
Ca2MgTcSn | PBE | relaxed

abc: 5.895 5.895 5.208
angles: 90.00 90.00 90.00
Space group P4/mmm (No. 123)
Unique sites:
1 Ca 0.000 0.500 0.000 [2 per cell]
2 Mg 0.000 0.000 0.500 [1 per cell]
3 Tc 0.500 0.500 0.500 [1 per cell]
4 Sn 0.000 0.000 0.000 [1 per cell]

## Properties
Formation energy from the elements ... 0.8405 eV per atom

8.
ScAl3Bi | PBE | relaxed

abc: 5.380 5.380 5.380
angles: 90.00 90.00 90.00
Space group Pm-3m (No. 221)
Unique sites:
1 Sc 0.000 0.000 0.000 [1 per cell]
2 Al 0.000 0.500 0.500 [3 per cell]
3 Bi 0.500 0.500 0.500 [1 per cell]

## Properties
Formation energy from the elements ... 1.0338 eV per atom